Record 1
Material: Cs2VPt
Method: DFT, PBE-GGA
State: relaxed

Unit cell a=5.722 b=5.722 c=5.722 alpha=60.00 beta=60.00 gamma=60.00
Atoms (fractional coordinates):
Cs 0.750 0.750 0.750
Pt 0.500 0.500 0.500
Cs 0.250 0.250 0.250
V 0.000 0.000 0.000

Calculated values
Calculated total energy: -3.12 eV per atom
Energy of formation from the pure elements: 25.37 kcal/mol of atoms
Volume: 132.5 Å³/cell
SG: Fm-3m, No. 225



Record 2
Material: CsPtW3
Method: DFT, PBE-GGA
State: relaxed

Unit cell a=5.026 b=5.026 c=5.026 alpha=90.00 beta=90.00 gamma=90.00
Atoms (fractional coordinates):
W 0.000 0.000 0.500
W 0.000 0.500 0.000
Cs 0.500 0.500 0.500
Pt 0.000 0.000 0.000
W 0.500 0.000 0.000

Calculated values
Calculated total energy: -6.76 eV per atom
Energy of formation from the pure elements: 55.15 kcal/mol of atoms
Volume: 127.0 Å³/cell
SG: Pm-3m, No. 221



Record 3
Material: CsPtW3
Method: DFT, PBE-GGA
State: relaxed

Unit cell a=4.833 b=4.833 c=4.833 alpha=90.00 beta=90.00 gamma=90.00
Atoms (fractional coordinates):
W 0.000 0.000 0.500
W 0.000 0.500 0.000
Cs 0.000 0.000 0.000
Pt 0.500 0.500 0.500
W 0.500 0.000 0.000

Calculated values
Calculated total energy: -5.24 eV per atom
Energy of formation from the pure elements: 90.21 kcal/mol of atoms
Volume: 112.9 Å³/cell
SG: Pm-3m, No. 221



Record 4
Material: CsPt3W
Method: DFT, PBE-GGA
State: relaxed

Unit cell a=5.111 b=5.111 c=5.111 alpha=90.00 beta=90.00 gamma=90.00
Atoms (fractional coordinates):
Pt 0.000 0.500 0.000
W 0.500 0.500 0.500
Pt 0.000 0.000 0.500
Cs 0.000 0.000 0.000
Pt 0.500 0.000 0.000

Calculated values
Calculated total energy: -3.51 eV per atom
Energy of formation from the pure elements: 66.41 kcal/mol of atoms
Volume: 133.5 Å³/cell
SG: Pm-3m, No. 221



Record 5
Material: CsZn2PtW
Method: DFT, PBE-GGA
State: relaxed

Unit cell a=5.283 b=5.078 c=5.283 alpha=90.00 beta=90.00 gamma=90.00
Atoms (fractional coordinates):
Pt 0.000 0.500 0.000
W 0.500 0.500 0.500
Zn 0.500 0.000 0.000
Zn 0.000 0.000 0.500
Cs 0.000 0.000 0.000

Calculated values
Calculated total energy: -1.71 eV per atom
Energy of formation from the pure elements: 63.96 kcal/mol of atoms
Volume: 141.7 Å³/cell
SG: P4/mmm, No. 123



Record 6
Material: CsYPt3
Method: DFT, PBE-GGA
State: relaxed

Unit cell a=5.371 b=5.371 c=5.371 alpha=90.00 beta=90.00 gamma=90.00
Atoms (fractional coordinates):
Y 0.000 0.000 0.000
Cs 0.500 0.500 0.500
Pt 0.000 0.000 0.500
Pt 0.500 0.000 0.000
Pt 0.000 0.500 0.000

Calculated values
Calculated total energy: -4.73 eV per atom
Energy of formation from the pure elements: 8.35 kcal/mol of atoms
Volume: 154.9 Å³/cell
SG: Pm-3m, No. 221



Record 7
Material: CsY3Pt
Method: DFT, PBE-GGA
State: relaxed

Unit cell a=5.659 b=5.659 c=5.659 alpha=90.00 beta=90.00 gamma=90.00
Atoms (fractional coordinates):
Y 0.500 0.000 0.000
Cs 0.500 0.500 0.500
Pt 0.000 0.000 0.000
Y 0.000 0.000 0.500
Y 0.000 0.500 0.000

Calculated values
Calculated total energy: -5.42 eV per atom
Energy of formation from the pure elements: -3.82 kcal/mol of atoms
Volume: 181.2 Å³/cell
SG: Pm-3m, No. 221



Record 8
Material: CsY2Pt2
Method: DFT, PBE-GGA
State: relaxed

Unit cell a=5.240 b=5.240 c=7.208 alpha=68.69 beta=68.69 gamma=90.00
Atoms (fractional coordinates):
Cs 0.000 0.000 0.000
Pt 0.250 0.750 0.500
Pt 0.750 0.250 0.500
Y 0.331 0.331 0.338
Y 0.669 0.669 0.662

Calculated values
Calculated total energy: -5.63 eV per atom
Energy of formation from the pure elements: -10.56 kcal/mol of atoms
Volume: 169.8 Å³/cell
SG: I4/mmm, No. 139